[1]
Compound: Ga2BiO6
Source: the Alexandria database
Functional: GGA-PBE
Structure: optimized geometry

Structure (POSCAR):
```
Ga2BiO6
1.0
-2.6685 -3.5255 0.3743
2.0146 -2.4226 -8.4555
4.9876 -3.0452 6.8756
Ga Bi O
6 3 18
Direct
0.0000 0.6483 0.6483
0.5000 0.3075 0.3075
0.0000 0.0000 0.3517
0.5000 0.6925 0.0000
0.5000 0.0000 0.6925
0.0000 0.3517 0.0000
0.5044 0.3333 0.6667
0.0000 0.0000 0.0000
0.4956 0.6667 0.3333
0.2468 0.7672 0.8713
0.7525 0.5664 0.7843
0.2539 0.4362 0.5345
0.2539 0.4655 0.9017
0.7525 0.2179 0.4336
0.2468 0.1040 0.2328
0.7525 0.2157 0.7821
0.7532 0.8960 0.1287
0.2539 0.0983 0.5638
0.2468 0.1287 0.8960
0.2475 0.7821 0.2157
0.7461 0.9017 0.4655
0.7461 0.5638 0.0983
0.2475 0.7843 0.5664
0.7532 0.8713 0.7672
0.2475 0.4336 0.2179
0.7461 0.5345 0.4362
0.7532 0.2328 0.1040
```

Summary:
- Energy: -149.5 eV/cell
- Volume: 313 Å³/cell


[2]
Compound: Ga2BiO4
Source: the Alexandria database
Functional: GGA-PBE
Structure: optimized geometry

Structure (POSCAR):
```
Ga2BiO4
1.0
6.3820 0.2591 0.0355
-0.2108 6.4651 0.0760
-2.8723 -3.4905 4.4848
Ga Bi O
4 2 8
Direct
0.6250 0.3750 0.7500
0.6250 0.8751 0.2500
0.6251 0.3749 0.2500
0.1251 0.3752 0.7503
0.2145 0.6792 0.4617
0.0355 0.0707 0.0383
0.8459 0.1243 0.2741
0.4037 0.6256 0.2255
0.8561 0.5524 0.6993
0.8442 0.1436 0.6936
0.4530 0.1481 0.3033
0.3940 0.1976 0.8007
0.4058 0.6064 0.8063
0.7970 0.6019 0.1968
```

Summary:
- Energy: -78.6 eV/cell
- Volume: 188 Å³/cell


[3]
Compound: GaBi2O5
Source: the Alexandria database
Functional: GGA-PBE
Structure: optimized geometry

Structure (POSCAR):
```
GaBi2O5
1.0
5.9487 0.1960 -0.1488
0.1461 5.5298 -1.1899
-3.1771 -3.8916 5.7676
Ga Bi O
1 2 5
Direct
0.9852 0.9485 0.9766
0.2087 0.7464 0.3285
0.6121 0.1780 0.2159
0.8726 0.3383 0.1470
0.2336 0.2395 0.0241
0.8754 0.8566 0.1435
0.2897 0.8383 0.1118
0.6996 0.6314 0.6065
```

Summary:
- Energy: -45.1 eV/cell
- Volume: 160 Å³/cell


[4]
Compound: Ga3BiO
Source: the Alexandria database
Functional: GGA-PBE
Structure: optimized geometry

Structure (POSCAR):
```
Ga3BiO
1.0
4.6127 0.0000 0.0000
0.0000 4.6127 0.0000
0.0000 0.0000 4.6127
O Bi Ga
1 1 3
Direct
0.0000 0.0000 0.0000
0.5000 0.5000 0.5000
0.0000 0.5000 0.0000
0.0000 0.0000 0.5000
0.5000 0.0000 0.0000
```

Summary:
- Energy: -19.0 eV/cell
- Volume: 98 Å³/cell


[5]
Compound: Ga4BiO2
Source: the Alexandria database
Functional: GGA-PBE
Structure: optimized geometry

Structure (POSCAR):
```
Ga4BiO2
1.0
-1.6318 2.5471 -4.9874
-3.0132 -4.7781 -1.4543
-7.2833 1.1645 -0.4333
O Bi Ga
2 1 4
Direct
0.6183 0.6183 0.7633
0.3817 0.3817 0.2367
0.0000 0.0000 0.0000
0.7593 0.7593 0.4815
0.2407 0.2407 0.5185
0.0000 0.5000 0.0000
0.5000 0.0000 0.0000
```

Summary:
- Energy: -26.1 eV/cell
- Volume: 209 Å³/cell


[6]
Compound: GaBiO
Source: the Alexandria database
Functional: GGA-PBE
Structure: optimized geometry

Structure (POSCAR):
```
GaBiO
1.0
-2.2600 4.0079 -0.2655
-2.5779 -3.9554 4.5111
1.6366 0.9008 4.2133
Ga Bi O
2 2 2
Direct
0.2750 0.0000 0.7250
0.7750 0.0000 0.2250
0.3970 0.5000 0.6030
0.8970 0.5000 0.1030
0.1757 0.0000 0.3243
0.6757 0.0000 0.8243
```

Summary:
- Energy: -27.5 eV/cell
- Volume: 119 Å³/cell